CsCu4F8 | PBE | optimized geometry

Geometry as POSCAR:
```
CsCu4F8
1.0
0.0000 4.7490 4.7490
4.7490 0.0000 4.7490
4.7490 4.7490 0.0000
Cs Cu F
1 4 8
direct
0.0000 0.0000 0.0000 Cs
0.1301 0.6233 0.6233 Cu
0.6233 0.1301 0.6233 Cu
0.6233 0.6233 0.1301 Cu
0.6233 0.6233 0.6233 Cu
0.4010 0.4010 0.4010 F
0.4010 0.4010 0.7971 F
0.4010 0.7971 0.4010 F
0.4718 0.8427 0.8427 F
0.7971 0.4010 0.4010 F
0.8427 0.4718 0.8427 F
0.8427 0.8427 0.4718 F
0.8427 0.8427 0.8427 F
```

Properties
* E_form (uncorrected): -19.77 eV/f.u.
* E above lowest polymorph: 146 meV per atom
* E_tot: -51.98 eV/cell